Compound: Sr2CrTeO6
Source: Alexandria via LeMat-Bulk
Functional: PBE+U
Structure: optimized geometry

Cell lengths 5.7264, 5.7154, 9.9020 Å; angles 90.00, 125.32, 90.00 degrees
Closest atoms and distances in Å follow each position.
Space group P2_1/c (No. 14)
Symmetry-distinct sites (fractional):
Sr 0.2456 0.0205 0.2496  8 O 2.57-2.86
Cr 0.0000 0.0000 0.5000  6 O 2.06
Te 0.5000 0.0000 0.0000  6 O 2.03
O 0.1968 0.2225 0.9704  1 Te 2.03, 1 Cr 2.06
O 0.2485 0.7258 0.9701  1 Te 2.03, 1 Cr 2.06
O 0.3087 0.0086 0.7519  1 Te 2.03, 1 Cr 2.06

Computed properties:
N(E_F) in states/eV/cell: 2.388
Electronic total energy in eV/cell: -128.75
Total magnetic moment in μB/cell: 7.5
Calculated volume in Å³/cell: 264